# 1
The following is a PBEsol calculation of a relaxed structure of Al3As2, from the Alexandria database.

a b c (Å): 3.722 3.722 8.113
angles (deg): 76.74 76.74 60.00
Element x y z (fractional)
As 0.398 0.398 0.805
As 0.602 0.602 0.195
Al 0.208 0.208 0.377
Al 0.000 0.000 0.000
Al 0.792 0.792 0.623

Summary:
DFT formation energy	-0.1299	eV/atom

# 2
The following is a PBEsol calculation of a relaxed structure of Cu3Sn, from the Alexandria database.

a b c (Å): 4.277 4.277 4.277
angles (deg): 60.00 60.00 60.00
Element x y z (fractional)
Cu 0.250 0.250 0.250
Cu 0.500 0.500 0.500
Cu 0.750 0.750 0.750
Sn 0.000 0.000 0.000

Summary:
DFT formation energy	0.0490	eV/atom

# 3
The following is a PBEsol calculation of a relaxed structure of FeCu5, from the Alexandria database.

a b c (Å): 2.473 4.145 6.723
angles (deg): 90.00 100.60 90.00
Each line ends with the local moment (μB).
Element x y z (fractional)
Fe 0.109 0.500 0.219  2.58
Cu 0.669 0.000 0.337  0.09
Cu 0.776 0.500 0.552  0.04
Cu 0.002 0.000 0.003  0.06
Cu 0.443 0.500 0.885  0.04
Cu 0.335 0.000 0.670  -0.01

Summary:
DFT formation energy	0.1051	eV/atom

# 4
The following is a PBEsol calculation of a relaxed structure of NaGa2P2O9, from the Alexandria database.

a b c (Å): 9.023 9.117 9.325
angles (deg): 90.00 115.22 90.00
Each line ends with the local moment (μB).
Element x y z (fractional)
O 0.064 0.322 0.387  0.01
O 0.165 0.278 0.173  0.02
O 0.582 0.500 0.796  0.01
O 0.880 0.380 0.106  0.02
O 0.665 0.222 0.673  0.02
O 0.082 0.000 0.296  0.01
O 0.626 0.963 0.742  0.01
O 0.895 0.100 0.001  0.54
O 0.835 0.722 0.827  0.02
O 0.936 0.678 0.613  0.01
O 0.209 0.918 0.760  0.01
O 0.667 0.378 0.425  0.28
O 0.918 0.000 0.704  0.01
O 0.105 0.900 0.999  0.54
O 0.374 0.037 0.258  0.01
O 0.380 0.120 0.606  0.02
O 0.126 0.537 0.242  0.01
O 0.333 0.622 0.575  0.28
O 0.167 0.122 0.925  0.28
O 0.291 0.418 0.740  0.01
O 0.335 0.778 0.327  0.02
O 0.405 0.666 0.862  0.04
O 0.791 0.082 0.240  0.01
O 0.595 0.334 0.138  0.04
O 0.418 0.500 0.204  0.01
O 0.564 0.178 0.887  0.01
O 0.395 0.400 0.501  0.54
O 0.095 0.166 0.638  0.04
O 0.605 0.600 0.499  0.54
O 0.120 0.620 0.894  0.02
O 0.833 0.878 0.075  0.28
O 0.620 0.880 0.394  0.02
O 0.874 0.463 0.758  0.01
O 0.905 0.834 0.362  0.04
O 0.436 0.822 0.113  0.01
O 0.709 0.582 0.260  0.01
Ga 0.145 0.074 0.136  -0.01
Ga 0.855 0.926 0.864  -0.01
Ga 0.761 0.721 0.424  -0.01
Ga 0.645 0.426 0.636  -0.01
Ga 0.355 0.574 0.364  -0.01
Ga 0.261 0.779 0.924  -0.01
Ga 0.239 0.279 0.576  -0.01
Ga 0.739 0.221 0.076  -0.01
Na 0.260 0.878 0.530  0.00
Na 0.740 0.122 0.470  0.00
Na 0.760 0.622 0.030  0.00
Na 0.240 0.378 0.970  0.00
P 0.437 0.879 0.270  0.00
P 0.063 0.379 0.230  0.00
P 0.597 0.450 0.257  -0.01
P 0.937 0.621 0.770  0.00
P 0.903 0.950 0.243  -0.01
P 0.097 0.050 0.757  -0.01
P 0.563 0.121 0.730  0.00
P 0.403 0.550 0.743  -0.01

Summary:
E_form (uncorrected)	-27.99	eV/f.u.